Here is a relaxed structure of LiZn5Au6 from Alexandria via LeMat-Bulk. Energies are from GGA-PBE.

## Properties
- DFT formation energy (eV per atom) = -0.2761
- Fermi-level density of states (states/eV per atom) = 0.29
- V (A^3/atom) = 16.08
- uncorrected energy (eV/atom) = -2.605

a = 4.304 Å, b = 12.767 Å, c = 7.024 Å
α = 90.00°, β = 90.89°, γ = 90.00°
Space group C2/m (No. 12)
Symmetry-distinct sites (fractional):
Li (0.000, 0.000, 0.000) x2
Zn (0.000, 0.000, 0.500) x2
Zn (0.000, 0.335, 0.500) x4
Zn (0.000, 0.336, 0.000) x4
Au (0.001, 0.167, 0.250) x8
Au (0.002, 0.500, 0.246) x4

Here is a relaxed structure of PmZr2BeN4 from Alexandria via LeMat-Bulk. Energies are from GGA-PBE.

## Properties
- Fermi-level density of states (states/eV per atom) = 0.18
- formation energy from raw total energies (meV per atom) = -1507
- V (A^3/atom) = 12.06
- uncorrected energy (eV/atom) = -8.866

a = 3.263 Å, b = 10.896 Å, c = 10.858 Å
α = 90.00°, β = 90.00°, γ = 90.00°
Space group Cmcm (No. 63)
Symmetry-distinct sites (fractional):
Pm (0.000, 0.102, 0.250) x4
Zr (0.000, 0.369, 0.051) x8
Be (0.000, 0.175, 0.750) x4
N (0.000, 0.000, 0.000) x4
N (0.000, 0.267, 0.623) x8
N (0.000, 0.420, 0.250) x4

Here is a relaxed structure of HfNp5As6 from Alexandria via LeMat-Bulk. Energies are from GGA-PBE.

## Properties
- DFT formation energy (eV per atom) = -0.7255
- Fermi-level density of states (states/eV per atom) = 3.66
- V (A^3/atom) = 23.54
- uncorrected energy (eV/atom) = -9.272

a = 7.013 Å, b = 12.204 Å, c = 7.013 Å
α = 90.00°, β = 109.69°, γ = 90.00°
Space group C2/m (No. 12)
Symmetry-distinct sites (fractional):
Hf (0.000, 0.000, 0.000) x2
Np (0.000, 0.170, 0.500) x4
Np (0.000, 0.335, 0.000) x4
Np (0.000, 0.500, 0.500) x2
As (0.239, 0.000, 0.753) x4
As (0.241, 0.162, 0.241) x8

Here is a relaxed structure of Dy2PaSe2N2 from Alexandria via LeMat-Bulk. Energies are from GGA-PBE.

## Properties
- Fermi-level density of states (states/eV per atom) = 0.80
- formation energy from raw total energies (meV per atom) = -1458
- V (A^3/atom) = 20.42
- uncorrected energy (eV/atom) = -7.504

a = 4.372 Å, b = 4.372 Å, c = 14.956 Å
α = 90.00°, β = 90.00°, γ = 90.00°
Space group I4/mmm (No. 139)
Symmetry-distinct sites (fractional):
Dy (0.000, 0.000, 0.115) x4
Pa (0.000, 0.000, 0.500) x2
Se (0.000, 0.000, 0.312) x4
N (0.000, 0.500, 0.000) x4

Here is a relaxed structure of LiMn2Se4 from Alexandria via LeMat-Bulk. Energies are from GGA-PBE.

## Properties
- Fermi-level density of states (states/eV per atom) = 0.42
- formation energy from raw total energies (meV per atom) = -609
- V (A^3/atom) = 21.22
- uncorrected energy (eV/atom) = -5.493

a = 10.575 Å, b = 10.613 Å, c = 7.480 Å
α = 90.00°, β = 134.95°, γ = 90.00°
Space group C2/c (No. 15)
Symmetry-distinct sites (fractional):
Li (0.000, 0.125, 0.250) x4
Mn (0.000, 0.500, 0.000) x4
Mn (0.250, 0.250, 0.000) x4
Se (0.000, 0.261, 0.521) x8
Se (0.229, 0.489, 0.979) x8

Here is a relaxed structure of AcGaTeO6 from Alexandria via LeMat-Bulk. Energies are from GGA-PBE.

## Properties
- Fermi-level density of states (states/eV per atom) = 0.00
- formation energy from raw total energies (meV per atom) = -2054
- V (A^3/atom) = 14.37
- uncorrected energy (eV/atom) = -6.502

a = 5.2469 Å, b = 5.2469 Å, c = 10.8517 Å
α = 90.00°, β = 90.00°, γ = 120.00°
Space group P-31c (No. 163)
Symmetry-distinct sites (fractional):
Ac (0.0000, 0.0000, 0.0000) x2
Ga (0.3333, 0.6667, 0.2500) x2
Te (0.3333, 0.6667, 0.7500) x2
O (0.0086, 0.3821, 0.6474) x12

Here is a relaxed structure of AgSn8Au6 from Alexandria via LeMat-Bulk. Energies are from GGA-PBE.

## Properties
- DFT formation energy (eV per atom) = -0.1107
- Fermi-level density of states (states/eV per atom) = 0.31
- V (A^3/atom) = 24.64
- uncorrected energy (eV/atom) = -3.747

a = 8.1780 Å, b = 8.1780 Å, c = 19.1435 Å
α = 90.00°, β = 90.00°, γ = 120.00°
Space group R-3 (No. 148, hexagonal axes)
Symmetry-distinct sites (fractional):
Ag (0.0000, 0.0000, 0.0000) x3
Sn (0.0000, 0.0000, 0.3313) x6
Sn (0.0050, 0.3203, 0.1061) x18
Au (0.0038, 0.3463, 0.9276) x18

Here is a relaxed structure of HfPbNO2 from Alexandria via LeMat-Bulk. Energies are from GGA-PBE.

## Properties
- Fermi-level density of states (states/eV per atom) = 0.25
- formation energy from raw total energies (meV per atom) = -1545
- V (A^3/atom) = 14.75
- uncorrected energy (eV/atom) = -7.926

a = 4.123 Å, b = 4.123 Å, c = 4.337 Å
α = 90.00°, β = 90.00°, γ = 90.00°
Space group P4/mmm (No. 123)
Symmetry-distinct sites (fractional):
Hf (0.000, 0.000, 0.000) x1
Pb (0.500, 0.500, 0.500) x1
N (0.000, 0.000, 0.500) x1
O (0.000, 0.500, 0.000) x2

Here is a relaxed structure of Rb2NaCuBr4 from Alexandria via LeMat-Bulk. Energies are from GGA-PBE.

## Properties
- Fermi-level density of states (states/eV per atom) = 0.00
- formation energy from raw total energies (meV per atom) = -1242
- V (A^3/atom) = 36.95
- uncorrected energy (eV/atom) = -2.997

a = 13.982 Å, b = 11.974 Å, c = 9.846 Å
α = 90.00°, β = 134.17°, γ = 90.00°
Space group C2/c (No. 15)
Symmetry-distinct sites (fractional):
Rb (0.000, 0.000, 0.000) x4
Rb (0.250, 0.250, 0.000) x4
Na (0.000, 0.500, 0.000) x4
Cu (0.250, 0.250, 0.500) x4
Br (0.003, 0.271, 0.528) x8
Br (0.243, 0.443, 0.494) x8

Here is a relaxed structure of PmEr6Tm5 from Alexandria via LeMat-Bulk. Energies are from GGA-PBE.

## Properties
- DFT formation energy (eV per atom) = 0.0237
- Fermi-level density of states (states/eV per atom) = 1.37
- V (A^3/atom) = 30.52
- uncorrected energy (eV/atom) = -4.517

a = 6.077 Å, b = 10.515 Å, c = 11.638 Å
α = 90.00°, β = 100.01°, γ = 90.00°
Space group C2/m (No. 12)
Symmetry-distinct sites (fractional):
Pm (0.000, 0.000, 0.000) x2
Er (0.249, 0.500, 0.251) x4
Er (0.250, 0.167, 0.252) x8
Tm (0.000, 0.167, 0.500) x4
Tm (0.000, 0.333, 0.000) x4
Tm (0.000, 0.500, 0.500) x2

Here is a relaxed structure of MgTcIr from Alexandria via LeMat-Bulk. Energies are from GGA-PBE.

## Properties
- DFT formation energy (eV per atom) = 0.0473
- Fermi-level density of states (states/eV per atom) = 0.92
- V (A^3/atom) = 15.76
- uncorrected energy (eV/atom) = -6.893

a = 4.4354 Å, b = 4.4354 Å, c = 5.5516 Å
α = 90.00°, β = 90.00°, γ = 120.00°
Space group P6_3/mmc (No. 194)
Symmetry-distinct sites (fractional):
Mg (0.0000, 0.0000, 0.0000) x2
Tc (0.3333, 0.6667, 0.2500) x2
Ir (0.3333, 0.6667, 0.7500) x2

Here is a relaxed structure of Ta2AgHg from Alexandria via LeMat-Bulk. Energies are from GGA-PBE.

## Properties
- DFT formation energy (eV per atom) = 0.1712
- Fermi-level density of states (states/eV per atom) = 0.64
- V (A^3/atom) = 18.87
- uncorrected energy (eV/atom) = -6.543

a = 3.563 Å, b = 4.521 Å, c = 9.369 Å
α = 90.00°, β = 90.00°, γ = 90.00°
Space group Cmm2 (No. 35)
Symmetry-distinct sites (fractional):
Ta (0.000, 0.000, 0.000) x2
Ta (0.000, 0.500, 0.235) x2
Ag (0.000, 0.000, 0.481) x2
Hg (0.000, 0.500, 0.741) x2

Here is a relaxed structure of CoBrCl from Alexandria via LeMat-Bulk. Energies are from GGA-PBE.

## Properties
- Fermi-level density of states (states/eV per atom) = 0.67
- formation energy from raw total energies (meV per atom) = -417
- V (A^3/atom) = 34.18
- uncorrected energy (eV/atom) = -3.959

a = 12.620 Å, b = 6.086 Å, c = 6.082 Å
α = 90.00°, β = 118.60°, γ = 90.00°
Space group Cm (No. 8)
Symmetry-distinct sites (fractional):
Co (0.000, 0.250, 0.000) x4
Br (0.116, 0.000, 0.895) x2
Br (0.119, 0.500, 0.334) x2
Cl (0.392, 0.000, 0.702) x2
Cl (0.394, 0.500, 0.089) x2

Here is a relaxed structure of CaNdTm2 from Alexandria via LeMat-Bulk. Energies are from GGA-PBE.

## Properties
- DFT formation energy (eV per atom) = 0.0898
- Fermi-level density of states (states/eV per atom) = 1.53
- V (A^3/atom) = 34.09
- uncorrected energy (eV/atom) = -3.838

a = 3.638 Å, b = 3.638 Å, c = 10.302 Å
α = 90.00°, β = 90.00°, γ = 90.00°
Space group P4/mmm (No. 123)
Symmetry-distinct sites (fractional):
Ca (0.000, 0.000, 0.000) x1
Nd (0.000, 0.000, 0.500) x1
Tm (0.500, 0.500, 0.267) x2

Here is a relaxed structure of Cd2Hg2IO6 from Alexandria via LeMat-Bulk. Energies are from GGA-PBE.

## Properties
- Fermi-level density of states (states/eV per atom) = 0.14
- formation energy from raw total energies (meV per atom) = -529
- V (A^3/atom) = 18.72
- uncorrected energy (eV/atom) = -3.596

a = 5.691 Å, b = 10.030 Å, c = 7.247 Å
α = 90.00°, β = 95.32°, γ = 90.00°
Space group C2/m (No. 12)
Symmetry-distinct sites (fractional):
Cd (0.000, 0.166, 0.000) x4
Hg (0.000, 0.270, 0.500) x4
I (0.000, 0.500, 0.000) x2
O (0.121, 0.361, 0.849) x8
O (0.204, 0.000, 0.851) x4

Here is a relaxed structure of Dy3Cu2Si6Pd from Alexandria via LeMat-Bulk. Energies are from GGA-PBE.

## Properties
- Fermi-level density of states (states/eV per atom) = 0.56
- formation energy from raw total energies (meV per atom) = -336
- V (A^3/atom) = 18.51
- uncorrected energy (eV/atom) = -5.313

a = 5.7327 Å, b = 5.7327 Å, c = 7.8048 Å
α = 90.00°, β = 90.00°, γ = 120.00°
Space group P-3m1 (No. 164)
Symmetry-distinct sites (fractional):
Dy (0.0000, 0.0000, 0.0000) x1
Dy (0.3333, 0.6667, 0.6171) x2
Cu (0.3333, 0.6667, 0.0173) x2
Si (0.1914, 0.3827, 0.2780) x6
Pd (0.0000, 0.0000, 0.5000) x1

Here is a relaxed structure of Sr2MgCr from Alexandria via LeMat-Bulk. Energies are from GGA-PBE.

## Properties
- DFT formation energy (eV per atom) = 0.3725
- Fermi-level density of states (states/eV per atom) = 0.81
- V (A^3/atom) = 34.60
- uncorrected energy (eV/atom) = -3.273

a = 4.077 Å, b = 4.077 Å, c = 8.328 Å
α = 90.00°, β = 90.00°, γ = 90.00°
Space group P4/mmm (No. 123)
Symmetry-distinct sites (fractional):
Sr (0.000, 0.000, 0.240) x2
Mg (0.500, 0.500, 0.500) x1
Cr (0.500, 0.500, 0.000) x1

Here is a relaxed structure of Pa2GaPd2 from Alexandria via LeMat-Bulk. Energies are from GGA-PBE.

## Properties
- DFT formation energy (eV per atom) = -0.4935
- Fermi-level density of states (states/eV per atom) = 1.43
- V (A^3/atom) = 20.64
- uncorrected energy (eV/atom) = -6.974

a = 4.592 Å, b = 5.835 Å, c = 7.703 Å
α = 90.00°, β = 90.00°, γ = 90.00°
Space group Immm (No. 71)
Symmetry-distinct sites (fractional):
Pa (0.000, 0.000, 0.190) x4
Ga (0.000, 0.500, 0.000) x2
Pd (0.000, 0.263, 0.500) x4

Here is a relaxed structure of BeRu2Br from Alexandria via LeMat-Bulk. Energies are from GGA-PBE.

## Properties
- Fermi-level density of states (states/eV per atom) = 1.16
- formation energy from raw total energies (meV per atom) = 706
- V (A^3/atom) = 15.28
- uncorrected energy (eV/atom) = -5.282

a = 2.946 Å, b = 4.997 Å, c = 8.302 Å
α = 90.00°, β = 90.00°, γ = 90.00°
Space group Cmm2 (No. 35)
Symmetry-distinct sites (fractional):
Be (0.000, 0.000, 0.000) x2
Ru (0.000, 0.000, 0.471) x2
Ru (0.000, 0.500, 0.218) x2
Br (0.000, 0.500, 0.791) x2

Here is a relaxed structure of Zr2TaMn from Alexandria via LeMat-Bulk. Energies are from GGA-PBE.

## Properties
- DFT formation energy (eV per atom) = 0.2251
- Fermi-level density of states (states/eV per atom) = 1.32
- V (A^3/atom) = 18.39
- uncorrected energy (eV/atom) = -9.305

a = 3.067 Å, b = 4.453 Å, c = 5.546 Å
α = 90.00°, β = 103.77°, γ = 90.00°
Space group P2/m (No. 10)
Symmetry-distinct sites (fractional):
Zr (0.200, 0.000, 0.265) x2
Ta (0.500, 0.500, 0.000) x1
Mn (0.000, 0.500, 0.500) x1